# 1
Computed, not measured: Sr2Mg4AgHg3 after structural relaxation at the GGA-PBE level of DFT.

Energy of formation from the pure elements: -310 meV/atom
E_tot: -1.659 eV per atom
Volume: 26.63 Å³/atom
Magnetization: 0.0 μB/cell
N(E_F): 3.48 states/eV/f.u.

Geometry as extended XYZ:
```
10
Lattice="4.6507 0.0000 0.0000 0.0000 4.6507 0.0000 0.0000 0.0000 12.3133" Properties=species:S:1:pos:R:3 pbc="T T T"
Sr 0.0000 2.3254 3.0257
Sr 2.3254 0.0000 9.2876
Mg 0.0000 0.0000 6.1566
Mg 0.0000 2.3254 10.7663
Mg 2.3254 0.0000 1.5470
Mg 2.3254 2.3254 6.1566
Ag 2.3254 2.3254 0.0000
Hg 0.0000 0.0000 0.0000
Hg 0.0000 2.3254 7.9592
Hg 2.3254 0.0000 4.3541
```

# 2
Computed, not measured: Sr2MgAgHg6 after structural relaxation at the GGA-PBE level of DFT.

Energy of formation from the pure elements: -155 meV/atom
E_tot: -1.117 eV per atom
Volume: 30.90 Å³/atom
Magnetization: 0.0 μB/cell
N(E_F): 4.05 states/eV/f.u.

Geometry as extended XYZ:
```
10
Lattice="-3.7866 3.7935 5.3778 3.7866 -3.7935 5.3778 3.7866 3.7935 -5.3778" Properties=species:S:1:pos:R:3 pbc="T T T"
Sr 0.0000 0.0000 2.6901
Sr 0.0000 0.0000 8.0656
Mg 0.0000 3.7935 0.0000
Ag 3.7866 0.0000 0.0000
Hg 1.8790 1.9100 0.0000
Hg 1.9076 -1.8835 5.3778
Hg 3.7866 0.0000 2.7085
Hg 0.0000 3.7935 2.6694
Hg 1.8790 5.6769 0.0000
Hg 1.9076 1.8835 5.3778
```

# 3
Computed, not measured: SrMg2AgHg4 after structural relaxation at the GGA-PBE level of DFT.

Energy of formation from the pure elements: -252 meV/atom
E_tot: -1.368 eV per atom
Volume: 24.57 Å³/atom
Magnetization: 0.0 μB/cell
N(E_F): 3.38 states/eV/f.u.

Geometry as extended XYZ:
```
8
Lattice="2.4282 1.4019 9.6216 -2.4282 1.4019 9.6216 0.0000 -2.8039 9.6216" Properties=species:S:1:pos:R:3 pbc="T T T"
Sr 0.0000 0.0000 0.0000
Mg 0.0000 0.0000 6.7003
Mg 0.0000 0.0000 22.1645
Ag 0.0000 0.0000 14.4324
Hg 0.0000 0.0000 3.6361
Hg 0.0000 0.0000 11.3891
Hg 0.0000 0.0000 17.4758
Hg 0.0000 0.0000 25.2288
```

# 4
Computed, not measured: TbMg2Ag2Hg2 after structural relaxation at the GGA-PBE level of DFT.

Energy of formation from the pure elements: -223 meV/atom
E_tot: -2.241 eV per atom
Volume: 21.81 Å³/atom
Magnetization: 0.0 μB/cell
N(E_F): 3.03 states/eV/f.u.

Geometry as extended XYZ:
```
7
Lattice="2.3811 1.3747 7.7752 -2.3811 1.3747 7.7752 0.0000 -2.7494 7.7752" Properties=species:S:1:pos:R:3 pbc="T T T"
Tb 0.0000 0.0000 0.0000
Mg 0.0000 0.0000 3.2593
Mg 0.0000 0.0000 20.0662
Ag 0.0000 0.0000 10.1998
Ag 0.0000 0.0000 13.1258
Hg 0.0000 0.0000 6.2876
Hg 0.0000 0.0000 17.0380
```

# 5
Computed, not measured: TbMgAgHg after structural relaxation at the GGA-PBE level of DFT.

Energy of formation from the pure elements: -401 meV/atom
E_tot: -2.745 eV per atom
Volume: 22.29 Å³/atom
Magnetization: 0.0 μB/cell
N(E_F): 1.41 states/eV/f.u.

Geometry as extended XYZ:
```
16
Lattice="7.0913 0.0000 0.0000 0.0000 7.0913 0.0000 0.0000 0.0000 7.0913" Properties=species:S:1:pos:R:3 pbc="T T T"
Tb 0.0000 0.0000 0.0000
Tb 0.0000 3.5457 3.5457
Tb 3.5457 0.0000 3.5457
Tb 3.5457 3.5457 0.0000
Mg 0.0000 0.0000 3.5457
Mg 0.0000 3.5457 0.0000
Mg 3.5457 0.0000 0.0000
Mg 3.5457 3.5457 3.5457
Ag 1.7728 1.7728 1.7728
Ag 1.7728 5.3185 5.3185
Ag 5.3185 1.7728 5.3185
Ag 5.3185 5.3185 1.7728
Hg 1.7728 1.7728 5.3185
Hg 1.7728 5.3185 1.7728
Hg 5.3185 1.7728 1.7728
Hg 5.3185 5.3185 5.3185
```

# 6
Computed, not measured: ThMg2AgHg4 after structural relaxation at the GGA-PBE level of DFT.

Energy of formation from the pure elements: -180 meV/atom
E_tot: -2.013 eV per atom
Volume: 23.05 Å³/atom
Magnetization: 0.0 μB/cell
N(E_F): 3.92 states/eV/f.u.

Geometry as extended XYZ:
```
8
Lattice="2.4225 1.3986 9.0694 -2.4225 1.3986 9.0694 0.0000 -2.7972 9.0694" Properties=species:S:1:pos:R:3 pbc="T T T"
Th 0.0000 0.0000 0.0000
Mg 0.0000 0.0000 6.5643
Mg 0.0000 0.0000 20.6438
Ag 0.0000 0.0000 13.6040
Hg 0.0000 0.0000 3.4110
Hg 0.0000 0.0000 10.5644
Hg 0.0000 0.0000 16.6436
Hg 0.0000 0.0000 23.7970
```

# 7
Computed, not measured: ThMgAgHg after structural relaxation at the GGA-PBE level of DFT.

Energy of formation from the pure elements: -236 meV/atom
E_tot: -3.278 eV per atom
Volume: 24.01 Å³/atom
Magnetization: 0.0 μB/cell
N(E_F): 2.56 states/eV/f.u.

Geometry as extended XYZ:
```
16
Lattice="7.2692 0.0000 0.0000 0.0000 7.2692 0.0000 0.0000 0.0000 7.2692" Properties=species:S:1:pos:R:3 pbc="T T T"
Th 0.0000 0.0000 0.0000
Th 0.0000 3.6346 3.6346
Th 3.6346 0.0000 3.6346
Th 3.6346 3.6346 0.0000
Mg 0.0000 0.0000 3.6346
Mg 0.0000 3.6346 0.0000
Mg 3.6346 0.0000 0.0000
Mg 3.6346 3.6346 3.6346
Ag 1.8173 1.8173 5.4519
Ag 1.8173 5.4519 1.8173
Ag 5.4519 1.8173 1.8173
Ag 5.4519 5.4519 5.4519
Hg 1.8173 1.8173 1.8173
Hg 1.8173 5.4519 5.4519
Hg 5.4519 1.8173 5.4519
Hg 5.4519 5.4519 1.8173
```

# 8
Computed, not measured: MgTiAgHg after structural relaxation at the GGA-PBE level of DFT.

Energy of formation from the pure elements: -67 meV/atom
E_tot: -3.227 eV per atom
Volume: 18.62 Å³/atom
Magnetization: 0.0 μB/cell
N(E_F): 2.57 states/eV/f.u.

Geometry as extended XYZ:
```
16
Lattice="6.6785 0.0000 0.0000 0.0000 6.6785 0.0000 0.0000 0.0000 6.6785" Properties=species:S:1:pos:R:3 pbc="T T T"
Mg 0.0000 0.0000 0.0000
Mg 0.0000 3.3392 3.3392
Mg 3.3392 0.0000 3.3392
Mg 3.3392 3.3392 0.0000
Ti 0.0000 0.0000 3.3392
Ti 0.0000 3.3392 0.0000
Ti 3.3392 0.0000 0.0000
Ti 3.3392 3.3392 3.3392
Ag 1.6696 1.6696 5.0089
Ag 1.6696 5.0089 1.6696
Ag 5.0089 1.6696 1.6696
Ag 5.0089 5.0089 5.0089
Hg 1.6696 1.6696 1.6696
Hg 1.6696 5.0089 5.0089
Hg 5.0089 1.6696 5.0089
Hg 5.0089 5.0089 1.6696
```

# 9
Computed, not measured: YMg2AgHg4 after structural relaxation at the GGA-PBE level of DFT.

Energy of formation from the pure elements: -250 meV/atom
E_tot: -1.964 eV per atom
Volume: 22.21 Å³/atom
Magnetization: 0.0 μB/cell
N(E_F): 2.73 states/eV/f.u.

Geometry as extended XYZ:
```
8
Lattice="2.4309 1.4035 8.6814 -2.4309 1.4035 8.6814 0.0000 -2.8070 8.6814" Properties=species:S:1:pos:R:3 pbc="T T T"
Y 0.0000 0.0000 0.0000
Mg 0.0000 0.0000 6.3450
Mg 0.0000 0.0000 19.6993
Ag 0.0000 0.0000 13.0221
Hg 0.0000 0.0000 3.2311
Hg 0.0000 0.0000 9.9629
Hg 0.0000 0.0000 16.0814
Hg 0.0000 0.0000 22.8132
```

# 10
Computed, not measured: Mg3Zn2Ag4Hg2 after structural relaxation at the GGA-PBE level of DFT.

Energy of formation from the pure elements: -43 meV/atom
E_tot: -1.801 eV per atom
Volume: 20.16 Å³/atom
Magnetization: 0.0 μB/cell
N(E_F): 3.38 states/eV/f.u.

Geometry as extended XYZ:
```
11
Lattice="-2.0547 2.0547 13.1336 2.0547 -2.0547 13.1336 2.0547 2.0547 -13.1336" Properties=species:S:1:pos:R:3 pbc="T T T"
Mg 0.0000 0.0000 0.0000
Mg 0.0000 0.0000 5.2063
Mg 0.0000 0.0000 21.0610
Zn 0.0000 0.0000 11.9515
Zn 0.0000 0.0000 14.3157
Ag 2.0547 0.0000 2.8712
Ag 2.0547 0.0000 10.2624
Ag 0.0000 2.0547 2.8712
Ag 0.0000 2.0547 10.2624
Hg 0.0000 0.0000 8.0396
Hg 0.0000 0.0000 18.2276
```

# 11
Computed, not measured: MgZnAgHg after structural relaxation at the GGA-PBE level of DFT.

Energy of formation from the pure elements: -78 meV/atom
E_tot: -1.584 eV per atom
Volume: 18.50 Å³/atom
Magnetization: 0.0 μB/cell
N(E_F): 2.03 states/eV/f.u.
E above lowest polymorph: 0 meV/atom

Geometry as extended XYZ:
```
16
Lattice="6.6640 0.0000 0.0000 0.0000 6.6640 0.0000 0.0000 0.0000 6.6640" Properties=species:S:1:pos:R:3 pbc="T T T"
Mg 0.0000 0.0000 0.0000
Mg 0.0000 3.3320 3.3320
Mg 3.3320 0.0000 3.3320
Mg 3.3320 3.3320 0.0000
Zn 0.0000 0.0000 3.3320
Zn 0.0000 3.3320 0.0000
Zn 3.3320 0.0000 0.0000
Zn 3.3320 3.3320 3.3320
Ag 1.6660 1.6660 4.9980
Ag 1.6660 4.9980 1.6660
Ag 4.9980 1.6660 1.6660
Ag 4.9980 4.9980 4.9980
Hg 1.6660 1.6660 1.6660
Hg 1.6660 4.9980 4.9980
Hg 4.9980 1.6660 4.9980
Hg 4.9980 4.9980 1.6660
```

# 12
Computed, not measured: MgZn2Ag5Hg2 after structural relaxation at the GGA-PBE level of DFT.

Energy of formation from the pure elements: -2 meV/atom
E_tot: -1.902 eV per atom
Volume: 18.91 Å³/atom
Magnetization: 0.0 μB/cell
N(E_F): 2.47 states/eV/f.u.

Geometry as extended XYZ:
```
20
Lattice="9.3462 0.0000 0.0000 0.0000 9.3462 0.0000 0.0000 0.0000 4.3285" Properties=species:S:1:pos:R:3 pbc="T T T"
Mg 0.0000 0.0000 0.0000
Mg 4.6731 4.6731 0.0000
Zn 1.1450 3.5282 0.0000
Zn 3.5282 8.2013 0.0000
Zn 5.8181 1.1450 0.0000
Zn 8.2013 5.8181 0.0000
Ag 0.0000 4.6731 2.1642
Ag 0.7771 1.8418 2.1642
Ag 1.8418 8.5691 2.1642
Ag 2.8314 3.8960 2.1642
Ag 3.8960 6.5149 2.1642
Ag 4.6731 0.0000 2.1642
Ag 5.4503 2.8314 2.1642
Ag 6.5149 5.4503 2.1642
Ag 7.5045 0.7771 2.1642
Ag 8.5691 7.5045 2.1642
Hg 1.6108 6.2839 0.0000
Hg 3.0623 1.6108 0.0000
Hg 6.2839 7.7354 0.0000
Hg 7.7354 3.0623 0.0000
```